LiGa2: relaxed, PBE-GGA.

It has space group Fd-3m (No. 227, origin choice 2), with a = 9.622 Å, b = 9.622 Å, c = 9.622 Å, α = 90.00°, β = 90.00° and γ = 90.00°. The distinct sites, in fractional coordinates, are Li at (0.000, 0.000, 0.000) and Ga at (0.025, 0.025, 0.725).

As for the total energy: -2.70 eV per atom. For the formation energy from the elements, the calculation gives -41.6 meV per atom. For the volume, the calculation gives 18.56 Å³ per atom.